Material: Li2VF5
Method: DFT, GGA+U
State: relaxed

The calculation puts the energy above the lowest structure with this stoichiometry at 0.036 eV per atom. Its energy is -5.474 eV per atom. The volume comes out at 401.2 Å³ per cell. As for the symmetry: No. 33.

Lattice parameters (Å, degrees): 8.093 6.626 7.482 90.00 90.00 90.00
Sites, in units of the cell vectors:
1 Li 0.122 0.160 0.000
2 Li 0.124 0.732 0.283
3 Li 0.376 0.232 0.783
4 Li 0.378 0.660 0.500
5 Li 0.622 0.340 0.000
6 Li 0.624 0.768 0.283
7 Li 0.876 0.268 0.783
8 Li 0.878 0.840 0.500
9 V 0.125 0.253 0.474
10 V 0.375 0.753 0.974
11 V 0.625 0.247 0.474
12 V 0.875 0.747 0.974
13 F 0.090 0.962 0.454
14 F 0.122 0.274 0.221
15 F 0.125 0.720 0.012
16 F 0.126 0.254 0.742
17 F 0.162 0.544 0.474
18 F 0.338 0.044 0.974
19 F 0.374 0.754 0.242
20 F 0.375 0.220 0.512
21 F 0.378 0.774 0.721
22 F 0.410 0.462 0.954
23 F 0.590 0.538 0.454
24 F 0.622 0.226 0.221
25 F 0.625 0.780 0.012
26 F 0.626 0.246 0.742
27 F 0.662 0.956 0.474
28 F 0.838 0.456 0.974
29 F 0.874 0.746 0.242
30 F 0.875 0.280 0.512
31 F 0.878 0.726 0.721
32 F 0.910 0.038 0.954